Density functional theory data (PBE-GGA) for an optimized crystal structure of ZnCdSeO.

The structure in CIF format:
```
data_ZnCdSeO
_chemical_formula_sum 'Zn4 Cd4 Se4 O4'
_cell_length_a 3.727
_cell_length_b 12.571
_cell_length_c 5.851
_cell_angle_alpha 90.00
_cell_angle_beta 90.00
_cell_angle_gamma 90.00
_symmetry_space_group_name_H-M 'C m c m'
_symmetry_Int_Tables_number 63
_symmetry_space_group_name_Hall '-C 2c 2'
loop_
_atom_site_label
_atom_site_type_symbol
_atom_site_fract_x
_atom_site_fract_y
_atom_site_fract_z
Zn1 Zn 0.000 0.105 0.250
Cd1 Cd 0.000 0.403 0.250
Se1 Se 0.000 0.277 0.750
O1 O 0.000 0.000 0.000
```

The raw total energy is -52.02 eV per cell. As for the mass density: 6.61 g/cm³. Its excess energy over the best structure of this formula in the dataset is 326 meV/atom.